(1)
DFT (PBE-GGA) results for crystalline SrTiNb3 at its relaxed geometry.

```
data_SrTiNb3
_chemical_formula_sum 'Sr1 Ti1 Nb3'
_space_group_name_H-M_alt 'P m -3 m'
_space_group_IT_number 221
_space_group_name_Hall '-P 4 2 3'
_cell_length_a 4.858
_cell_length_b 4.858
_cell_length_c 4.858
_cell_angle_alpha 90.00
_cell_angle_beta 90.00
_cell_angle_gamma 90.00
loop_
_atom_site_label
_atom_site_fract_x
_atom_site_fract_y
_atom_site_fract_z
_atom_site_occupancy
Sr1 0.000 0.000 0.000 1
Ti1 0.500 0.500 0.500 1
Nb1 0.000 0.000 0.500 1
```

Calculated values
total moment = 0.000 μB/atom
VASP energy = -27.47 eV/cell
energy of formation = 2.463 eV per atom
D(E_F) = 2.32 states/eV per atom

---

(2)
DFT (PBE-GGA) results for crystalline KMoP2 at its relaxed geometry.

```
data_KMoP2
_chemical_formula_sum 'K1 Mo1 P2'
_space_group_name_H-M_alt 'P 4/m m m'
_space_group_IT_number 123
_space_group_name_Hall '-P 4 2'
_cell_length_a 5.218
_cell_length_b 5.218
_cell_length_c 2.637
_cell_angle_alpha 90.00
_cell_angle_beta 90.00
_cell_angle_gamma 90.00
loop_
_atom_site_label
_atom_site_fract_x
_atom_site_fract_y
_atom_site_fract_z
_atom_site_occupancy
K1 0.000 0.000 0.000 1
Mo1 0.500 0.500 0.000 1
P1 0.000 0.500 0.500 1
```

Calculated values
total moment = 0.271 μB/atom
VASP energy = -20.05 eV/cell
energy of formation = 0.675 eV per atom
D(E_F) = 0.99 states/eV per atom

---

(3)
DFT (PBE-GGA) results for crystalline PrTm2InHg4 at its relaxed geometry.

```
data_PrTm2InHg4
_chemical_formula_sum 'Pr3 Tm6 In3 Hg12'
_space_group_name_H-M_alt 'R -3 m'
_space_group_IT_number 166
_space_group_name_Hall '-R 3 2"'
_cell_length_a 5.0801
_cell_length_b 5.0801
_cell_length_c 27.7162
_cell_angle_alpha 90.00
_cell_angle_beta 90.00
_cell_angle_gamma 120.00
loop_
_atom_site_label
_atom_site_fract_x
_atom_site_fract_y
_atom_site_fract_z
_atom_site_occupancy
Pr1 0.0000 0.0000 0.0000 1
Tm1 0.0000 0.0000 0.2384 1
In1 0.0000 0.0000 0.5000 1
Hg1 0.0000 0.0000 0.1220 1
Hg2 0.0000 0.0000 0.3817 1
```

Calculated values
total moment = 0.000 μB/atom
VASP energy = -62.33 eV/cell
energy of formation = -0.388 eV per atom
D(E_F) = 0.63 states/eV per atom

---

(4)
DFT (PBE-GGA) results for crystalline CdCoPt2 at its relaxed geometry.

```
data_CdCoPt2
_chemical_formula_sum 'Cd2 Co2 Pt4'
_space_group_name_H-M_alt 'C m m m'
_space_group_IT_number 65
_space_group_name_Hall '-C 2 2'
_cell_length_a 5.656
_cell_length_b 7.826
_cell_length_c 2.822
_cell_angle_alpha 90.00
_cell_angle_beta 90.00
_cell_angle_gamma 90.00
loop_
_atom_site_label
_atom_site_fract_x
_atom_site_fract_y
_atom_site_fract_z
_atom_site_occupancy
Cd1 0.000 0.000 0.000 1
Co1 0.000 0.500 0.000 1
Pt1 0.250 0.250 0.500 1
```

Calculated values
total moment = 0.580 μB/atom
VASP energy = -40.68 eV/cell
energy of formation = -0.059 eV per atom
D(E_F) = 1.10 states/eV per atom